1.
A plane-wave DFT calculation with GGA-PBE was carried out for a relaxed structure of LaTbAl2Si.

## Properties
The raw formation energy comes out at -226 kJ/mol of formula units.

```
5
Lattice="4.402 0.000 0.000 0.000 4.464 0.000 -2.201 -2.232 6.113" Properties=species:S:1:pos:R:3 pbc="T T T"
Tb 0.000 2.232 2.417
La 0.000 0.000 5.365
Al 2.201 0.000 2.300
Al 0.000 0.000 0.550
Si 2.201 2.232 4.187
```

2.
A plane-wave DFT calculation with GGA-PBE was carried out for a relaxed structure of LaAl2SiTc2.

## Properties
The raw formation energy comes out at -211 kJ/mol of formula units.

```
6
Lattice="-3.240 -3.164 0.061 0.111 -0.026 4.527 -4.040 4.141 0.123" Properties=species:S:1:pos:R:3 pbc="T T T"
Tc -1.620 -1.582 0.031
Tc 0.056 -0.013 2.264
Al -2.573 -0.562 2.325
Al -4.597 1.513 2.387
La -2.020 2.070 0.062
Si 0.000 0.000 0.000
```

3.
A plane-wave DFT calculation with GGA-PBE was carried out for a relaxed structure of LaAl2SiTc.

## Properties
The raw formation energy comes out at -184 kJ/mol of formula units.

```
5
Lattice="-4.615 0.807 0.794 -0.308 -4.101 2.380 1.063 2.206 3.939" Properties=species:S:1:pos:R:3 pbc="T T T"
Si 0.532 1.103 1.969
Al -0.154 -2.050 1.190
Al -2.307 0.404 0.397
La -1.930 -0.544 3.556
Tc 0.000 0.000 0.000
```

4.
A plane-wave DFT calculation with GGA-PBE was carried out for a relaxed structure of LaAlV2Si.

## Properties
The raw formation energy comes out at 874 kJ/mol of formula units.

```
5
Lattice="-1.103 -3.982 2.332 5.002 -0.508 1.499 -0.912 2.538 3.903" Properties=species:S:1:pos:R:3 pbc="T T T"
Al 1.493 -0.976 3.867
Si 2.501 -0.254 0.750
V -0.456 1.269 1.951
V -0.552 -1.991 1.166
La 0.000 0.000 0.000
```

5.
A plane-wave DFT calculation with GGA-PBE was carried out for a relaxed structure of LaAl8Si2W.

## Properties
The raw formation energy comes out at -49 kJ/mol of formula units.

```
12
Lattice="-2.804 3.748 -2.449 -4.343 -1.443 -2.638 -9.662 2.733 3.625" Properties=species:S:1:pos:R:3 pbc="T T T"
W 0.000 0.000 0.000
Al -5.750 0.365 -1.360
Al -4.994 2.916 -1.267
Al -2.581 0.816 -1.396
Al -11.059 4.672 -0.103
Al -9.580 2.897 -1.552
Al -11.815 2.121 -0.196
Al -7.229 2.140 0.089
Al -14.228 4.221 -0.067
Si -9.640 2.820 1.042
Si -7.169 2.217 -2.505
La -4.831 1.366 1.812
```

6.
A plane-wave DFT calculation with GGA-PBE was carried out for a relaxed structure of LaYAlSi.

## Properties
The raw formation energy comes out at -238 kJ/mol of formula units.

```
4
Lattice="-3.613 2.575 0.338 -2.261 -3.279 0.813 2.803 -0.611 5.332" Properties=species:S:1:pos:R:3 pbc="T T T"
Si 0.850 0.577 4.692
Y -2.214 0.139 4.567
Al -2.808 -0.264 1.288
La 0.291 0.197 1.605
```